NaMoNF2 | GGA+U | relaxed

Lattice parameters (Å, degrees): 4.2794 4.2794 3.9781 90.00 90.00 90.00
Space group P4/mmm (No. 123)
One atom of each set of equivalent atoms:
Na 0.0000 0.0000 0.0000 (multiplicity 1)
Mo 0.5000 0.5000 0.5000 (multiplicity 1)
N 0.5000 0.5000 0.0000 (multiplicity 1)
F 0.0000 0.5000 0.5000 (multiplicity 2)

Computed properties:
Energy relative to the lowest polymorph listed for this composition: 0.000 eV/atom
Volume: 73 Å³/cell
Crystal system: tetragonal
Fermi-level density of states: 0.07 states/eV per atom